1.
## CsBa2Ag2 (PBE)

Data for crystalline CsBa2Ag2 at its relaxed geometry.

Results
E: -10.25 eV per cell
polymorph energy (0 for the lowest one): 0.122 eV/atom
M_tot: 0.029 μB/atom
DFT formation energy: 0.0303 eV/atom

Lattice parameters (Å, degrees): 6.2218 6.2218 8.2647 67.89 67.89 90.00
With the nearest neighbours (Å) after each atom.
Fractional coordinates of all 5 atoms:
Cs1 0.0000 0.0000 0.0000  8 Ag 4.68, 10 Ba 4.69-4.97
Ba1 0.3351 0.3351 0.3299  4 Ag 3.33
Ba2 0.6649 0.6649 0.6701  4 Ag 3.33
Ag1 0.7500 0.2500 0.5000  4 Ba 3.33
Ag2 0.2500 0.7500 0.5000  4 Ba 3.33

2.
## CsBa2Ag (PBE)

Data for crystalline CsBa2Ag at its relaxed geometry.

Results
E: -7.84 eV per cell
polymorph energy (0 for the lowest one): 0.000 eV/atom
M_tot: 0.000 μB/atom
DFT formation energy: -0.0735 eV/atom

Lattice parameters (Å, degrees): 4.9928 4.9928 12.3020 78.29 78.29 60.00
With the nearest neighbours (Å) after each atom.
Fractional coordinates of all 4 atoms:
Cs1 0.5005 0.5005 0.4985  6 Cs 4.99, 6 Ba 5.09-5.13
Ba1 0.0490 0.0490 0.8531  3 Ag 3.38
Ba2 0.2841 0.2841 0.1477  3 Ag 3.38
Ag1 0.6664 0.6664 0.0007  6 Ba 3.38

3.
## CsBa2Ag2 (PBE)

Data for crystalline CsBa2Ag2 at its relaxed geometry.

Results
E: -10.53 eV per cell
polymorph energy (0 for the lowest one): 0.067 eV/atom
M_tot: 0.000 μB/atom
DFT formation energy: -0.0251 eV/atom

Lattice parameters (Å, degrees): 5.7681 5.7681 8.0403 68.98 68.98 90.00
With the nearest neighbours (Å) after each atom.
Fractional coordinates of all 5 atoms:
Cs1 0.0000 0.0000 0.0000  8 Ag 4.33, 8 Ba 4.51
Ba1 0.7500 0.2500 0.5000  4 Ag 3.52
Ba2 0.2500 0.7500 0.5000  4 Ag 3.52
Ag1 0.3960 0.3960 0.2081  1 Ag 2.88
Ag2 0.6040 0.6040 0.7919  1 Ag 2.88